Entry 1:
14
Lattice="7.954 -1.025 -0.160 -1.595 7.859 0.160 -3.061 -3.527 6.549" Properties=species:S:1:pos:R:3 comment="Dy4Ir2Pb PBE relaxed" formation_energy_ev_per_fu=-3.60 pbc="T T T"
Dy 5.889 -0.269 1.989
Dy 1.327 3.119 1.207
Dy 4.200 1.303 4.402
Dy 3.914 -2.475 4.343
Dy 2.142 -0.826 2.045
Dy -0.046 -1.979 5.342
Dy 0.239 1.799 5.403
Dy 5.074 3.675 1.148
Ir 2.076 -0.337 4.871
Ir 2.811 5.354 1.679
Ir 3.608 1.425 1.597
Ir -1.900 0.174 4.952
Pb -0.739 3.873 3.355
Pb -3.060 -3.525 6.549

---

Entry 2:
5
Lattice="-4.121 -1.673 -1.269 2.024 -3.911 -1.416 0.201 0.046 7.717" Properties=species:S:1:pos:R:3 comment="DyHoTeSe2 PBE relaxed" raw_formation_energy_mev_per_atom=-1312.2 pbc="T T T"
Dy -0.236 -0.766 1.777
Ho -1.658 -4.767 3.242
Te -1.049 -2.794 -1.339
Se -2.485 -2.212 2.558
Se 0.587 -3.331 2.485

---

Entry 3:
8
Lattice="4.186 0.000 0.000 0.000 7.225 -0.136 0.000 2.550 6.775" Properties=species:S:1:pos:R:3 comment="PmSmPu2As4 PBE relaxed" formation_energy_ev_per_fu=-9.95 pbc="T T T"
Pm 0.000 4.887 3.319
Sm 2.093 3.612 -0.068
Pu 0.000 2.550 6.775
Pu 2.093 1.275 3.387
As 0.000 7.383 4.959
As 4.186 2.392 1.679
As 2.093 6.108 1.561
As 2.093 3.667 5.078

---

Entry 4:
11
Lattice="-3.881 2.515 1.003 -2.501 -1.935 -4.819 0.685 -5.505 5.301" Properties=species:S:1:pos:R:3 comment="Pd8Au2Se PBE relaxed" raw_formation_energy_mev_per_atom=-58.7 pbc="T T T"
Pd -3.193 -0.698 0.164
Pd -1.149 -3.376 3.626
Pd -0.872 -1.953 1.234
Pd -1.908 -1.400 -3.559
Pd -4.723 -3.039 0.224
Pd -4.408 -1.640 -2.178
Pd -2.365 -4.317 1.284
Pd -0.015 -5.970 4.071
Au -2.111 -2.932 -1.175
Au -3.460 -2.076 2.628
Se -4.154 -5.925 1.086

---

Entry 5:
11
Lattice="4.274 0.000 0.000 -0.001 6.300 -3.637 0.000 -0.002 7.274" Properties=species:S:1:pos:R:3 comment="AgSn2F8 PBE relaxed" raw_formation_energy_mev_per_atom=-2022.8 pbc="T T T"
Sn 1.061 2.099 3.637
Sn 3.212 4.199 0.000
Ag 0.000 -0.002 7.274
F 1.077 4.199 0.000
F 3.196 2.098 3.638
F 3.235 5.183 -1.724
F 1.039 1.098 1.923
F 1.039 4.084 3.627
F 1.039 1.115 5.362
F 3.235 5.200 1.714
F 3.235 2.214 0.011

---

Entry 6:
4
Lattice="4.391 0.000 0.000 0.000 4.419 0.000 0.000 0.000 6.949" Properties=species:S:1:pos:R:3 comment="BaAs2Pb PBE relaxed" formation_energy_ev_per_fu=-1.02 pbc="T T T"
Pb 2.196 2.210 6.254
As 0.000 0.000 6.233
As 2.196 2.210 2.031
Ba 0.000 0.000 2.854

---

Entry 7:
6
Lattice="-0.438 0.038 3.033 -0.237 -7.624 0.060 5.301 1.401 -0.796" Properties=species:S:1:pos:R:3 comment="MgTiCd PBE relaxed" formation_energy_ev_per_fu=0.07 pbc="T T T"
Mg 0.053 -5.167 0.065
Mg 3.636 -6.182 0.596
Ti 0.450 -2.059 0.081
Ti 3.476 -1.666 0.517
Cd 1.486 0.227 1.753
Cd 2.003 -3.915 1.878

---

Entry 8:
7
Lattice="4.660 0.000 0.000 0.000 4.660 0.000 -2.330 -2.330 8.584" Properties=species:S:1:pos:R:3 comment="Ac2PrSb2O2 PBE relaxed" raw_formation_energy_mev_per_atom=-1868.9 pbc="T T T"
Ac 0.000 0.000 6.568
Ac 2.330 2.330 2.016
Pr 0.000 0.000 0.000
Sb 0.000 0.000 3.219
Sb 2.330 2.330 5.365
O 0.000 2.330 0.000
O 2.330 0.000 0.000

---

Entry 9:
12
Lattice="4.769 1.494 0.000 0.539 4.968 0.000 -2.654 -3.231 7.422" Properties=species:S:1:pos:R:3 comment="UNi3Rh2 PBE relaxed" formation_energy_ev_per_fu=-1.23 pbc="T T T"
U 2.654 3.231 2.293
U 0.000 0.000 5.130
Ni 4.043 4.923 1.225
Ni 1.390 1.692 6.197
Ni -1.390 -1.692 6.197
Ni 1.264 1.539 1.225
Ni 0.000 0.000 2.593
Ni 2.654 3.231 4.829
Rh 2.384 0.747 3.711
Rh 3.726 2.350 0.000
Rh 0.269 2.484 3.711
Rh 1.581 4.112 0.000

---

Entry 10:
8
Lattice="-5.380 -3.383 -2.264 3.987 -5.136 -1.799 -0.821 -2.773 6.095" Properties=species:S:1:pos:R:3 comment="SrRu PBE relaxed" formation_energy_ev_per_fu=3.82 pbc="T T T"
Sr -0.553 -2.823 0.508
Sr 1.030 -6.777 2.656
Sr -3.654 -5.901 2.423
Sr -1.249 -7.083 -1.524
Ru 0.000 0.000 0.000
Ru 1.583 -3.954 2.148
Ru -3.100 -3.078 1.916
Ru -0.696 -4.260 -2.032

---

Entry 11:
13
Lattice="5.247 -0.005 2.186 2.565 6.986 1.069 -0.102 -0.002 7.634" Properties=species:S:1:pos:R:3 comment="HoCd11Ni PBE relaxed" formation_energy_ev_per_fu=-0.75 pbc="T T T"
Ho 0.000 0.000 0.000
Cd 2.139 1.505 2.456
Cd 5.571 5.473 8.433
Cd 4.562 5.476 3.465
Cd 3.148 1.503 7.423
Cd 3.467 4.480 6.548
Cd 4.244 2.498 4.341
Cd 5.969 2.496 7.590
Cd 1.741 4.482 3.299
Cd 1.283 3.493 0.534
Cd 2.573 -0.004 4.910
Cd -0.051 -0.001 3.817
Ni 3.906 3.490 1.627

---

Entry 12:
8
Lattice="-2.976 -1.515 -3.106 3.787 -7.018 -0.193 -3.228 -4.833 5.464" Properties=species:S:1:pos:R:3 comment="Ac4Au3Br PBE relaxed" raw_formation_energy_mev_per_atom=-898.5 pbc="T T T"
Ac -2.446 -10.438 0.759
Ac 0.551 -7.344 -0.281
Ac -2.945 -4.444 -1.700
Ac -2.967 -6.023 2.446
Au -3.101 -3.175 1.179
Au -6.203 -6.349 2.358
Au -2.696 -7.441 -0.470
Br -2.822 -9.100 3.814

---

Entry 13:
4
Lattice="0.000 2.996 2.996 2.996 0.000 2.996 2.996 2.996 0.000" Properties=species:S:1:pos:R:3 comment="Cr2SiCl PBE relaxed" raw_formation_energy_mev_per_atom=492.5 pbc="T T T"
Cr 1.498 1.498 1.498
Cr 4.495 4.495 4.495
Si 0.000 0.000 0.000
Cl 2.996 2.996 2.996

---

Entry 14:
6
Lattice="3.846 -1.743 2.672 3.114 3.183 2.267 -0.031 0.405 4.980" Properties=species:S:1:pos:R:3 comment="Si4AsW PBE relaxed" raw_formation_energy_mev_per_atom=638.6 pbc="T T T"
Si 4.350 0.951 3.704
Si 2.771 -0.444 5.066
Si 4.334 1.154 6.205
Si 2.403 2.029 4.863
As 0.000 0.000 0.000
W 1.732 0.461 2.480

---

Entry 15:
5
Lattice="-3.527 0.162 1.070 -0.954 -2.189 -2.812 0.511 -2.965 2.135" Properties=species:S:1:pos:R:3 comment="FeNiB3 PBE relaxed" formation_energy_ev_per_fu=4.40 pbc="T T T"
Ni -1.984 -2.496 0.196
B -0.477 -1.095 -1.406
B 0.256 -1.482 1.067
B -1.763 0.081 0.535
Fe 0.000 0.000 0.000

---

Entry 16:
5
Lattice="-0.746 5.187 2.309 -2.324 1.846 -4.898 -5.181 -1.574 1.865" Properties=species:S:1:pos:R:3 comment="USb4 PBE relaxed" raw_formation_energy_mev_per_atom=704.2 pbc="T T T"
Sb 0.000 0.000 0.000
Sb -2.963 1.806 2.087
Sb -3.752 0.136 -1.517
Sb -1.535 3.517 -1.295
U -4.125 2.729 -0.362

---

Entry 17:
15
Lattice="-6.075 -0.994 2.502 -1.402 -9.401 1.685 0.251 0.515 9.636" Properties=species:S:1:pos:R:3 comment="AcDy10Y4 PBE relaxed" formation_energy_ev_per_fu=8.02 pbc="T T T"
Ac 0.000 0.000 0.000
Dy -2.095 -4.691 6.286
Dy -4.154 -4.140 10.338
Dy -5.943 -2.259 6.724
Dy -4.316 -8.117 8.348
Dy -6.117 -6.238 4.739
Dy -3.073 -5.740 3.485
Dy -5.132 -5.188 7.537
Dy -1.110 -3.642 9.085
Dy -2.911 -1.763 5.475
Dy -1.284 -7.621 7.099
Y -3.811 -8.648 4.960
Y -4.963 -7.296 11.523
Y -2.264 -2.584 2.300
Y -3.416 -1.232 8.863

---

Entry 18:
12
Lattice="-6.159 -3.004 -0.545 4.162 -1.617 5.226 -4.024 7.261 5.451" Properties=species:S:1:pos:R:3 comment="TlGa2AgBr8 PBE relaxed" raw_formation_energy_mev_per_atom=-759.1 pbc="T T T"
Tl 0.000 0.000 0.000
Ga -3.702 -0.766 2.712
Ga -2.318 3.406 7.421
Ag -2.012 3.630 2.726
Br -3.273 5.130 8.715
Br -1.975 0.776 3.240
Br -5.401 0.256 1.404
Br -2.747 -2.490 1.418
Br -0.619 2.384 8.729
Br -4.045 1.864 6.893
Br -1.417 4.396 5.459
Br -4.604 -1.757 4.673

---

Entry 19:
4
Lattice="1.521 0.000 7.266 -0.760 1.317 7.266 -0.760 -1.317 7.266" Properties=species:S:1:pos:R:3 comment="BeHF2 PBE relaxed" e_tot_ev_per_cell=-17.24 pbc="T T T"
Be 0.000 0.000 10.898
H 0.000 0.000 0.000
F 0.000 0.000 19.062
F 0.000 0.000 2.735

---

Entry 20:
12
Lattice="-2.054 -6.426 -0.508 5.601 -1.497 -3.716 2.347 -1.252 6.351" Properties=species:S:1:pos:R:3 comment="Tb3Tl2C PBE relaxed" formation_energy_ev_per_fu=-1.24 pbc="T T T"
Tb 2.840 -1.289 4.824
Tb 1.813 -4.502 4.570
Tb 4.715 -3.414 1.607
Tb 1.179 -5.760 0.521
Tb 4.080 -4.672 -2.442
Tb 5.107 -1.459 -2.188
Tl 3.406 -6.654 2.833
Tl 1.569 -2.451 2.136
Tl 2.487 -2.520 -0.704
Tl 4.325 -6.723 -0.008
C 6.786 -4.131 2.294
C -0.893 -5.043 -0.166

---

Entry 21:
12
Lattice="4.092 0.000 0.000 0.000 9.571 0.437 -2.046 -2.423 7.386" Properties=species:S:1:pos:R:3 comment="PmY2Ag3S6 PBE relaxed" raw_formation_energy_mev_per_atom=-1296.6 pbc="T T T"
Pm 2.046 0.000 0.000
Y 2.046 4.735 5.224
Y 0.000 2.413 2.599
Ag 2.046 4.786 0.218
Ag 2.046 -1.022 4.855
Ag 0.000 8.170 2.967
S 0.000 6.662 5.013
S 2.046 4.215 2.548
S 2.046 0.486 2.809
S 2.046 -0.477 7.308
S 0.000 7.625 0.514
S 0.000 2.933 5.275

---

Entry 22:
4
Lattice="0.000 3.195 3.195 3.195 0.000 3.195 3.195 3.195 0.000" Properties=species:S:1:pos:R:3 comment="CdTc2Cl PBE relaxed" raw_formation_energy_mev_per_atom=1159.0 pbc="T T T"
Cl 0.000 0.000 0.000
Tc 1.598 1.598 1.598
Tc 4.793 4.793 4.793
Cd 3.195 3.195 3.195

---

Entry 23:
7
Lattice="-0.446 0.269 -4.440 -3.435 -2.857 0.172 -4.059 8.569 3.177" Properties=species:S:1:pos:R:3 comment="La2PuI2N2 PBE relaxed" raw_formation_energy_mev_per_atom=-1248.2 pbc="T T T"
La -5.006 6.072 0.870
La -2.932 -0.090 -1.962
Pu 0.000 0.000 0.000
I -2.051 2.487 0.357
I -5.888 3.494 -1.448
N -1.717 -1.428 0.086
N -0.223 0.134 -2.220

---

Entry 24:
5
Lattice="4.105 0.000 0.000 0.000 4.105 0.000 0.000 0.000 4.359" Properties=species:S:1:pos:R:3 comment="ScGaNO2 PBE relaxed" raw_formation_energy_mev_per_atom=-658.7 pbc="T T T"
Sc 0.000 0.000 0.000
O 0.000 2.052 0.000
O 2.052 0.000 0.000
Ga 2.052 2.052 2.179
N 0.000 0.000 2.179